<one>
Density functional theory data (GGA-PBE) for a geometry-optimized Be2AsRh2 structure.

## Properties
symmetry	P4/mbm (127)
magnetization	0.0	μB/cell
mass density	8.2	g/cm³
density of states at the Fermi level	5.0	states/eV/f.u.

Cell lengths 6.4052, 6.4052, 2.9492 Å; angles 90.00, 90.00, 90.00 degrees
With the nearest neighbours (Å) after each atom.
Sites, in units of the cell vectors:
Be1 0.1228 0.3772 0.0000  1 Be 2.22, 6 Rh 2.39-2.41
Be2 0.3772 0.8772 0.0000  1 Be 2.22, 6 Rh 2.39-2.41
Be3 0.6228 0.1228 0.0000  1 Be 2.22, 6 Rh 2.39-2.41
Be4 0.8772 0.6228 0.0000  1 Be 2.22, 6 Rh 2.39-2.41
As1 0.0000 0.0000 0.0000  4 Be 2.54, 8 Rh 2.81
As2 0.5000 0.5000 0.0000  4 Be 2.54, 8 Rh 2.81
Rh1 0.1668 0.6668 0.5000  6 Be 2.39-2.41
Rh2 0.3332 0.1668 0.5000  6 Be 2.39-2.41
Rh3 0.6668 0.8332 0.5000  6 Be 2.39-2.41
Rh4 0.8332 0.3332 0.5000  6 Be 2.39-2.41

=====

<two>
Density functional theory data (GGA-PBE) for a geometry-optimized Be2AsRh2 structure.

## Properties
symmetry	P4/mbm (127)
magnetization	0.0	μB/cell
mass density	7.9	g/cm³
density of states at the Fermi level	3.4	states/eV/f.u.

Cell lengths 6.5554, 6.5554, 2.9157 Å; angles 90.00, 90.00, 90.00 degrees
With the nearest neighbours (Å) after each atom.
Sites, in units of the cell vectors:
Be1 0.1278 0.3722 0.0000  1 Be 2.37, 6 Rh 2.41-2.43
Be2 0.3722 0.8722 0.0000  1 Be 2.37, 6 Rh 2.41-2.43
Be3 0.6278 0.1278 0.0000  1 Be 2.37, 6 Rh 2.41-2.43
Be4 0.8722 0.6278 0.0000  1 Be 2.37, 6 Rh 2.41-2.43
As1 0.0000 0.0000 0.5000  4 Rh 2.46
As2 0.5000 0.5000 0.5000  4 Rh 2.46
Rh1 0.1621 0.6621 0.5000  6 Be 2.41-2.43, 2 As 2.46
Rh2 0.3379 0.1621 0.5000  6 Be 2.41-2.43, 2 As 2.46
Rh3 0.6621 0.8379 0.5000  6 Be 2.41-2.43, 2 As 2.46
Rh4 0.8379 0.3379 0.5000  6 Be 2.41-2.43, 2 As 2.46

=====

Energy ordering: <one> at the bottom, the next structure 8 meV per atom above.

=====

<one>
Density functional theory data (GGA-PBE) for a geometry-optimized BeAs3Rh structure.

## Properties
symmetry	Pm-3m (221)
magnetization	0.0	μB/cell
mass density	5.0	g/cm³
density of states at the Fermi level	6.1	states/eV/f.u.

Cell lengths 4.8062, 4.8062, 4.8062 Å; angles 90.00, 90.00, 90.00 degrees
With the nearest neighbours (Å) after each atom.
Sites, in units of the cell vectors:
Be1 0.0000 0.0000 0.0000  12 As 3.40
As1 0.0000 0.5000 0.5000  2 Rh 2.40
As2 0.5000 0.0000 0.5000  2 Rh 2.40
As3 0.5000 0.5000 0.0000  2 Rh 2.40
Rh1 0.5000 0.5000 0.5000  6 As 2.40

=====

<two>
Density functional theory data (GGA-PBE) for a geometry-optimized BeAs3Rh structure.

## Properties
symmetry	Pm-3m (221)
magnetization	0.0	μB/cell
mass density	6.6	g/cm³
density of states at the Fermi level	2.6	states/eV/f.u.

Cell lengths 4.3914, 4.3914, 4.3914 Å; angles 90.00, 90.00, 90.00 degrees
With the nearest neighbours (Å) after each atom.
Sites, in units of the cell vectors:
Be1 0.0000 0.0000 0.0000  6 As 2.20
As1 0.0000 0.0000 0.5000  2 Be 2.20
As2 0.0000 0.5000 0.0000  2 Be 2.20
As3 0.5000 0.0000 0.0000  2 Be 2.20
Rh1 0.5000 0.5000 0.5000  12 As 3.11

=====

Energy ordering: <two> at the bottom, the next structure 314 meV per atom above.

=====

<one>
Density functional theory data (GGA-PBE) for a geometry-optimized Be2As2Rh structure.

## Properties
symmetry	P4/mbm (127)
magnetization	0.0	μB/cell
mass density	6.3	g/cm³
density of states at the Fermi level	2.6	states/eV/f.u.

Cell lengths 6.6135, 6.6135, 3.2438 Å; angles 90.00, 90.00, 90.00 degrees
With the nearest neighbours (Å) after each atom.
Sites, in units of the cell vectors:
Be1 0.1175 0.3825 0.0000  1 Be 2.20
Be2 0.3825 0.8825 0.0000  1 Be 2.20
Be3 0.6175 0.1175 0.0000  1 Be 2.20
Be4 0.8825 0.6175 0.0000  1 Be 2.20
As1 0.1649 0.6649 0.5000  2 Rh 2.47, 6 Be 2.49-2.60
As2 0.3351 0.1649 0.5000  2 Rh 2.47, 6 Be 2.49-2.60
As3 0.6649 0.8351 0.5000  2 Rh 2.47, 6 Be 2.49-2.60
As4 0.8351 0.3351 0.5000  2 Rh 2.47, 6 Be 2.49-2.60
Rh1 0.0000 0.0000 0.5000  4 As 2.47
Rh2 0.5000 0.5000 0.5000  4 As 2.47

=====

<two>
Density functional theory data (GGA-PBE) for a geometry-optimized Be2As2Rh structure.

## Properties
symmetry	I4/mmm (139)
magnetization	0.0	μB/cell
mass density	6.4	g/cm³
density of states at the Fermi level	4.5	states/eV/f.u.

Cell lengths 6.8012, 6.8012, 6.8012 Å; angles 151.74, 151.74, 40.40 degrees
With the nearest neighbours (Å) after each atom.
Sites, in units of the cell vectors:
Be1 0.2500 0.7500 0.5000  4 As 2.33, 4 Be 2.35
Be2 0.7500 0.2500 0.5000  4 As 2.33, 4 Be 2.35
As1 0.1220 0.1220 0.0000  4 Be 2.33
As2 0.8780 0.8780 0.0000  4 Be 2.33
Rh1 0.5000 0.5000 0.0000  8 As 2.82

=====

Energy ordering: <one> at the bottom, the next structure 28 meV per atom above.

=====

<one>
Density functional theory data (GGA-PBE) for a geometry-optimized BeAs2RhSe structure.

## Properties
symmetry	P4/mmm (123)
magnetization	0.0	μB/cell
mass density	4.9	g/cm³
density of states at the Fermi level	3.5	states/eV/f.u.

Cell lengths 4.6443, 4.6443, 5.3105 Å; angles 90.00, 90.00, 90.00 degrees
With the nearest neighbours (Å) after each atom.
Sites, in units of the cell vectors:
Be1 0.0000 0.0000 0.0000  4 Se 3.28, 8 As 3.53
As1 0.0000 0.5000 0.5000  2 Rh 2.32
As2 0.5000 0.0000 0.5000  2 Rh 2.32
Rh1 0.5000 0.5000 0.5000  4 As 2.32
Se1 0.5000 0.5000 0.0000  2 Rh 2.66

=====

<two>
Density functional theory data (GGA-PBE) for a geometry-optimized BeAs2RhSe structure.

## Properties
symmetry	P4/mmm (123)
magnetization	0.0	μB/cell
mass density	6.6	g/cm³
density of states at the Fermi level	2.6	states/eV/f.u.

Cell lengths 4.3165, 4.3165, 4.6351 Å; angles 90.00, 90.00, 90.00 degrees
With the nearest neighbours (Å) after each atom.
Sites, in units of the cell vectors:
Be1 0.0000 0.0000 0.0000  4 As 2.16, 2 Se 2.32
As1 0.0000 0.5000 0.0000  2 Be 2.16
As2 0.5000 0.0000 0.0000  2 Be 2.16
Rh1 0.5000 0.5000 0.5000  4 Se 3.05, 8 As 3.17
Se1 0.0000 0.0000 0.5000  2 Be 2.32

=====

Energy ordering: <two> at the bottom, the next structure 244 meV per atom above.